Entry 1:
First-principles (PBE-GGA) data for a relaxed TaVSn2 crystal, as listed in Alexandria.

The structure belongs to space group R-3m (No. 166, hexagonal axes); the cell edges are 3.0485, 3.0485 and 30.7774 Å and the angles 90.00°, 90.00° and 120.00°. The distinct sites, in fractional coordinates, are Ta at (0.0000, 0.0000, 0.0000), V at (0.0000, 0.0000, 0.5000) and Sn at (0.0000, 0.0000, 0.0938).

Its calculated volume is 247.7 Å³ per cell. The density of states at the Fermi level is 13.4 states/eV per cell. As for the distance to the lowest polymorph of the same formula: 0.712 eV/f.u. The value obtained for the energy is -80.8 eV for the cell shown.

Entry 2:
First-principles (PBE-GGA) data for a relaxed TaV3Sn crystal, as listed in Alexandria.

The structure belongs to space group Pm-3m (No. 221); the cell edges are 4.7160, 4.7160 and 4.7160 Å and the angles 90.00°, 90.00° and 90.00°. The distinct sites, in fractional coordinates, are Ta at (0.0000, 0.0000, 0.0000), V at (0.0000, 0.5000, 0.5000) and Sn at (0.5000, 0.5000, 0.5000).

Its calculated volume is 104.9 Å³ per cell. The density of states at the Fermi level is 5.5 states/eV per cell. As for the distance to the lowest polymorph of the same formula: 2.698 eV/f.u. The value obtained for the energy is -34.3 eV for the cell shown.

Entry 3:
First-principles (PBE-GGA) data for a relaxed Ta3VSn crystal, as listed in Alexandria.

The structure belongs to space group Pm-3m (No. 221); the cell edges are 4.6828, 4.6828 and 4.6828 Å and the angles 90.00°, 90.00° and 90.00°. The distinct sites, in fractional coordinates, are Ta at (0.0000, 0.0000, 0.5000), V at (0.0000, 0.0000, 0.0000) and Sn at (0.5000, 0.5000, 0.5000).

Its calculated volume is 102.7 Å³ per cell. The density of states at the Fermi level is 3.2 states/eV per cell. As for the distance to the lowest polymorph of the same formula: 0.000 eV/f.u. The value obtained for the energy is -43.9 eV for the cell shown.

Entry 4:
First-principles (PBE-GGA) data for a relaxed Ta2VSn crystal, as listed in Alexandria.

The structure belongs to space group P4/mmm (No. 123); the cell edges are 3.4313, 3.4313 and 6.0633 Å and the angles 90.00°, 90.00° and 90.00°. The distinct sites, in fractional coordinates, are Ta at (0.0000, 0.0000, 0.2289), V at (0.5000, 0.5000, 0.0000) and Sn at (0.5000, 0.5000, 0.5000).

Its calculated volume is 71.4 Å³ per cell. The density of states at the Fermi level is 2.7 states/eV per cell. The value obtained for the energy is -36.7 eV for the cell shown.